(1)
Crystalline LiPrPuPb at its relaxed geometry, computed with PBE.

a = 5.4482 Å, b = 5.4482 Å, c = 5.4482 Å
α = 60.00°, β = 60.00°, γ = 60.00°
Fractional coordinates of all 4 atoms:
Li 0.0000 0.0000 0.0000
Pr 0.7500 0.7500 0.7500
Pu 0.2500 0.2500 0.2500
Pb 0.5000 0.5000 0.5000

For the formation energy, the calculation gives -88 meV/atom. Its crystal system is cubic.

---

(2)
Crystalline BeZnTe at its relaxed geometry, computed with PBE.

a = 3.9871 Å, b = 3.9891 Å, c = 6.2041 Å
α = 71.74°, β = 71.95°, γ = 60.02°
Fractional coordinates of all 3 atoms:
Be 0.0000 0.0000 0.0000
Zn 0.1307 0.1289 0.6098
Te 0.2897 0.2883 0.1375

For the energy relative to the elements, uncorrected, the calculation gives 0.053 eV per atom. Its crystal system is triclinic. The calculation puts the distance to the lowest polymorph of the same formula at 0 meV/atom.

---

(3)
Crystalline ScCr2CoI at its relaxed geometry, computed with PBE.

a = 4.9178 Å, b = 4.9178 Å, c = 5.2602 Å
α = 90.00°, β = 90.00°, γ = 90.00°
Fractional coordinates of all 5 atoms:
Sc 0.0000 0.0000 0.0000
Cr 0.0000 0.5000 0.5000
Cr 0.5000 0.0000 0.5000
Co 0.5000 0.5000 0.0000
I 0.0000 0.0000 0.5000

For the energy relative to the elements, uncorrected, the calculation gives 1.657 eV per atom. Its crystal system is tetragonal.

---

(4)
Crystalline Y2FeSi3Pt4 at its relaxed geometry, computed with PBE.

a = 4.1674 Å, b = 4.1674 Å, c = 10.0613 Å
α = 90.00°, β = 90.00°, γ = 90.00°
Fractional coordinates of all 10 atoms:
Y 0.0000 0.5000 0.2446
Y 0.5000 0.0000 0.7554
Fe 0.5000 0.5000 0.0000
Si 0.0000 0.0000 0.0000
Si 0.0000 0.5000 0.6345
Si 0.5000 0.0000 0.3655
Pt 0.0000 0.0000 0.5000
Pt 0.0000 0.5000 0.8675
Pt 0.5000 0.0000 0.1325
Pt 0.5000 0.5000 0.5000

For the energy relative to the elements, uncorrected, the calculation gives -0.987 eV per atom. Its crystal system is tetragonal.

---

(5)
Crystalline AcTl2Zn at its relaxed geometry, computed with PBE.

a = 4.8579 Å, b = 4.8579 Å, c = 4.9701 Å
α = 90.00°, β = 90.00°, γ = 90.00°
Fractional coordinates of all 4 atoms:
Ac 0.0000 0.0000 0.0000
Tl 0.0000 0.5000 0.5000
Tl 0.5000 0.0000 0.5000
Zn 0.5000 0.5000 0.0000

For the formation energy, the calculation gives -188 meV/atom. Its crystal system is tetragonal.

---

(6)
Crystalline KReHg2 at its relaxed geometry, computed with PBE.

a = 5.1182 Å, b = 5.1182 Å, c = 5.1182 Å
α = 60.00°, β = 60.00°, γ = 60.00°
Fractional coordinates of all 4 atoms:
K 0.0000 0.0000 0.0000
Re 0.5000 0.5000 0.5000
Hg 0.2500 0.2500 0.2500
Hg 0.7500 0.7500 0.7500

For the formation energy, the calculation gives 1046 meV/atom. Its crystal system is cubic. The calculation puts the distance to the lowest polymorph of the same formula at 335 meV/atom.

---

(7)
Crystalline Pm2HfSe5 at its relaxed geometry, computed with PBE.

a = 12.2013 Å, b = 8.2679 Å, c = 7.7197 Å
α = 90.00°, β = 90.00°, γ = 90.00°
Fractional coordinates of all 32 atoms:
Pm 0.1780 0.0034 0.0301
Pm 0.1780 0.4966 0.0301
Pm 0.3220 0.5034 0.5301
Pm 0.3220 0.9966 0.5301
Pm 0.6780 0.0034 0.4699
Pm 0.6780 0.4966 0.4699
Pm 0.8220 0.5034 0.9699
Pm 0.8220 0.9966 0.9699
Hf 0.0068 0.7500 0.5766
Hf 0.4932 0.2500 0.0766
Hf 0.5068 0.7500 0.9234
Hf 0.9932 0.2500 0.4234
Se 0.0049 0.7500 0.9445
Se 0.0881 0.0369 0.6636
Se 0.0881 0.4631 0.6636
Se 0.1809 0.7500 0.3382
Se 0.2061 0.2500 0.3179
Se 0.2939 0.7500 0.8179
Se 0.3191 0.2500 0.8382
Se 0.4119 0.5369 0.1636
Se 0.4119 0.9631 0.1636
Se 0.4951 0.2500 0.4445
Se 0.5049 0.7500 0.5555
Se 0.5881 0.0369 0.8364
Se 0.5881 0.4631 0.8364
Se 0.6809 0.7500 0.1618
Se 0.7061 0.2500 0.1821
Se 0.7939 0.7500 0.6821
Se 0.8191 0.2500 0.6618
Se 0.9119 0.5369 0.3364
Se 0.9119 0.9631 0.3364
Se 0.9951 0.2500 0.0555

For the energy relative to the elements, uncorrected, the calculation gives -1.682 eV per atom. Its crystal system is orthorhombic. The calculation puts the distance to the lowest polymorph of the same formula at 0 meV/atom.

---

(8)
Crystalline Cs3Rh2Cl8 at its relaxed geometry, computed with PBE.

a = 9.7923 Å, b = 9.7923 Å, c = 9.7923 Å
α = 46.11°, β = 46.11°, γ = 46.11°
Fractional coordinates of all 13 atoms:
Cs 0.0000 0.0000 0.0000
Cs 0.2268 0.2268 0.2268
Cs 0.7732 0.7732 0.7732
Rh 0.4512 0.4512 0.4512
Rh 0.5488 0.5488 0.5488
Cl 0.1979 0.7286 0.7286
Cl 0.2714 0.2714 0.8021
Cl 0.2714 0.8021 0.2714
Cl 0.3561 0.3561 0.3561
Cl 0.6439 0.6439 0.6439
Cl 0.7286 0.1979 0.7286
Cl 0.7286 0.7286 0.1979
Cl 0.8021 0.2714 0.2714

For the energy relative to the elements, uncorrected, the calculation gives -1.017 eV per atom. Its crystal system is trigonal.

---

(9)
Crystalline Cs2MgPb2 at its relaxed geometry, computed with PBE.

a = 7.1861 Å, b = 7.1861 Å, c = 12.7712 Å
α = 113.38°, β = 113.38°, γ = 47.89°
Fractional coordinates of all 10 atoms:
Cs 0.1086 0.1086 0.3845
Cs 0.3189 0.3189 0.8095
Cs 0.6811 0.6811 0.1905
Cs 0.8914 0.8914 0.6155
Mg 0.3487 0.3487 0.1217
Mg 0.6513 0.6513 0.8783
Pb 0.0937 0.0937 0.9529
Pb 0.4111 0.4111 0.3831
Pb 0.5889 0.5889 0.6169
Pb 0.9063 0.9063 0.0471

For the formation energy, the calculation gives -71 meV/atom. Its crystal system is monoclinic. The calculation puts the distance to the lowest polymorph of the same formula at 0 meV/atom.

---

(10)
Crystalline ThTl3Cd2Se6 at its relaxed geometry, computed with PBE.

a = 7.2443 Å, b = 7.2443 Å, c = 7.9278 Å
α = 98.91°, β = 98.91°, γ = 119.95°
Fractional coordinates of all 12 atoms:
Th 0.0000 0.0000 0.0000
Tl 0.1632 0.8368 0.5000
Tl 0.5000 0.5000 0.5000
Tl 0.8368 0.1632 0.5000
Cd 0.3327 0.6673 0.0000
Cd 0.6673 0.3327 0.0000
Se 0.0717 0.4086 0.2166
Se 0.2663 0.2663 0.7868
Se 0.4086 0.0717 0.2166
Se 0.5914 0.9283 0.7834
Se 0.7337 0.7337 0.2132
Se 0.9283 0.5914 0.7834

For the energy relative to the elements, uncorrected, the calculation gives -0.733 eV per atom. Its crystal system is monoclinic.

---

(11)
Crystalline Na5B7C3 at its relaxed geometry, computed with PBE.

a = 11.6158 Å, b = 11.6158 Å, c = 9.9823 Å
α = 106.95°, β = 106.95°, γ = 13.99°
Fractional coordinates of all 30 atoms:
Na 0.0000 0.0000 0.0000
Na 0.0999 0.0999 0.6972
Na 0.1974 0.1974 0.3985
Na 0.3000 0.3000 0.0911
Na 0.3984 0.3984 0.8005
Na 0.5003 0.5003 0.4977
Na 0.5990 0.5990 0.1992
Na 0.6991 0.6991 0.8944
Na 0.7976 0.7976 0.5975
Na 0.8997 0.8997 0.2957
B 0.0187 0.0187 0.2844
B 0.1819 0.1819 0.1126
B 0.2117 0.2117 0.6740
B 0.3130 0.3130 0.3767
B 0.3768 0.3768 0.5033
B 0.4226 0.4226 0.0931
B 0.5237 0.5237 0.7950
B 0.5903 0.5903 0.9294
B 0.6152 0.6152 0.4788
B 0.7721 0.7721 0.2937
B 0.8091 0.8091 0.8685
B 0.8815 0.8815 0.0115
B 0.9193 0.9193 0.5881
B 0.9842 0.9842 0.7166
C 0.0834 0.0834 0.4135
C 0.1199 0.1199 0.9887
C 0.2768 0.2768 0.8049
C 0.4864 0.4864 0.2193
C 0.6797 0.6797 0.6099
C 0.7124 0.7124 0.1735

For the formation energy, the calculation gives 124 meV/atom. Its crystal system is monoclinic. The calculation puts the distance to the lowest polymorph of the same formula at 11 meV/atom.

---

(12)
Crystalline Mg2GeF2 at its relaxed geometry, computed with PBE.

a = 7.3029 Å, b = 7.3029 Å, c = 2.8675 Å
α = 90.00°, β = 90.00°, γ = 90.00°
Fractional coordinates of all 10 atoms:
Mg 0.1361 0.3639 0.0000
Mg 0.3639 0.8639 0.0000
Mg 0.6361 0.1361 0.0000
Mg 0.8639 0.6361 0.0000
Ge 0.0000 0.0000 0.0000
Ge 0.5000 0.5000 0.0000
F 0.1076 0.6076 0.5000
F 0.3924 0.1076 0.5000
F 0.6076 0.8924 0.5000
F 0.8924 0.3924 0.5000

For the energy relative to the elements, uncorrected, the calculation gives -1.424 eV per atom. Its crystal system is tetragonal. The calculation puts the distance to the lowest polymorph of the same formula at 547 meV/atom.

---

(13)
Crystalline La5Y6Ho at its relaxed geometry, computed with PBE.

a = 6.3185 Å, b = 6.3185 Å, c = 11.9445 Å
α = 95.05°, β = 95.05°, γ = 120.00°
Fractional coordinates of all 12 atoms:
La 0.0000 0.0000 0.0000
La 0.1663 0.8337 0.5000
La 0.3331 0.6669 0.0000
La 0.6669 0.3331 0.0000
La 0.8337 0.1663 0.5000
Y 0.0852 0.4174 0.2513
Y 0.2507 0.2507 0.7490
Y 0.4174 0.0852 0.2513
Y 0.5826 0.9148 0.7487
Y 0.7493 0.7493 0.2510
Y 0.9148 0.5826 0.7487
Ho 0.5000 0.5000 0.5000

For the formation energy, the calculation gives 10 meV/atom. Its crystal system is monoclinic.

---

(14)
Crystalline Zn2BiAu at its relaxed geometry, computed with PBE.

a = 5.8354 Å, b = 5.8354 Å, c = 5.8354 Å
α = 44.22°, β = 44.22°, γ = 44.22°
Fractional coordinates of all 4 atoms:
Zn 0.0000 0.0000 0.0000
Zn 0.2267 0.2267 0.2267
Bi 0.4381 0.4381 0.4381
Au 0.6254 0.6254 0.6254

For the formation energy, the calculation gives -4 meV/atom. Its crystal system is trigonal.

---

(15)
Crystalline GaFeS2 at its relaxed geometry, computed with PBE.

a = 7.3965 Å, b = 7.3965 Å, c = 7.3965 Å
α = 27.82°, β = 27.82°, γ = 27.82°
Fractional coordinates of all 4 atoms:
Ga 0.0000 0.0000 0.0000
Fe 0.5000 0.5000 0.5000
S 0.3975 0.3975 0.3975
S 0.6025 0.6025 0.6025

For the energy relative to the elements, uncorrected, the calculation gives -0.099 eV per atom. Its crystal system is trigonal.

---

(16)
Crystalline SrReMo2 at its relaxed geometry, computed with PBE.

a = 4.6648 Å, b = 4.6648 Å, c = 4.6648 Å
α = 60.00°, β = 60.00°, γ = 60.00°
Fractional coordinates of all 4 atoms:
Sr 0.0000 0.0000 0.0000
Re 0.5000 0.5000 0.5000
Mo 0.2500 0.2500 0.2500
Mo 0.7500 0.7500 0.7500

For the formation energy, the calculation gives 973 meV/atom. Its crystal system is cubic. The calculation puts the distance to the lowest polymorph of the same formula at 298 meV/atom.

---

(17)
Crystalline ScBe at its relaxed geometry, computed with PBE.

a = 3.2840 Å, b = 3.2840 Å, c = 7.6958 Å
α = 90.00°, β = 90.00°, γ = 120.00°
Fractional coordinates of all 4 atoms:
Sc 0.3333 0.6667 0.1764
Sc 0.6667 0.3333 0.8236
Be 0.3333 0.6667 0.5732
Be 0.6667 0.3333 0.4268

For the formation energy, the calculation gives 390 meV/atom. Its crystal system is trigonal.

---

(18)
Crystalline OsPb2NF at its relaxed geometry, computed with PBE.

a = 4.9317 Å, b = 4.9317 Å, c = 3.4827 Å
α = 90.00°, β = 90.00°, γ = 90.00°
Fractional coordinates of all 5 atoms:
Os 0.0000 0.0000 0.0000
Pb 0.0000 0.5000 0.5000
Pb 0.5000 0.0000 0.5000
N 0.5000 0.5000 0.5000
F 0.5000 0.5000 0.0000

For the energy relative to the elements, uncorrected, the calculation gives 0.893 eV per atom. Its crystal system is tetragonal. The calculation puts the distance to the lowest polymorph of the same formula at 0 meV/atom.

---

Volume for the records above, in order: 114 80 127 175 117 95 779 445 441 343 311 153 407 88 78 72 72 85 Å³/cell